Record 1
A geometry-optimized HfTa2Ga2 structure. Source: OQMD via LeMat-Bulk, functional GGA-PBE.

Cell and atoms, written as POSCAR:
```
HfTa2Ga2
1.0
-0.237 2.267 3.152
-2.472 -2.524 1.629
6.011 -2.832 0.089
Ta Ga Hf
2 2 1
direct
0.250 0.750 0.500
0.750 0.250 0.500
0.404 0.404 0.807
0.596 0.596 0.193
0.000 0.000 0.000
```

## Properties
symmetry: I4/mmm
crystal system: tetragonal

***

Record 2
A geometry-optimized TbHfZn2Ga2 structure. Source: OQMD via LeMat-Bulk, functional GGA-PBE.

Cell and atoms, written as POSCAR:
```
TbHfZn2Ga2
1.0
-0.424 1.588 4.028
-1.863 -3.788 -1.052
5.647 -3.305 1.898
Zn Hf Tb Ga
2 1 1 2
direct
0.333 0.667 0.282
0.667 0.333 0.718
0.000 0.000 0.500
0.000 0.000 0.000
0.667 0.333 0.269
0.333 0.667 0.731
```

## Properties
symmetry: P-3m1
crystal system: trigonal

***

| no. | uncorrected energy (eV/atom) |
| --- | --- |
| 1 | -8.136 |
| 2 | -4.329 |